1.
A plane-wave DFT calculation with meta-GGA SCAN was carried out for a PBEsol-optimized structure of PmPrIn2.

Results
formation energy from the elements = -253.5 kJ/mol of formula units
calculated volume = 27.603 A^3/atom
space-group type = Fm-3m, No. 225

abc: 5.3849 5.3849 5.3849
angles: 60.00 60.00 60.00
Closest atoms and distances in Å follow each position.
Element x y z (fractional)
1 Pr 0.0000 0.0000 0.0000  8 In 3.30
2 Pm 0.5000 0.5000 0.5000  8 In 3.30
3 In 0.2500 0.2500 0.2500  4 Pr 3.30, 4 Pm 3.30
4 In 0.7500 0.7500 0.7500  4 Pr 3.30, 4 Pm 3.30

=====

2.
A plane-wave DFT calculation with meta-GGA SCAN was carried out for a PBEsol-optimized structure of LiSO2F.

Results
calculated volume = 14.198 A^3/atom
formation energy from raw total energies = 0.36 eV/atom
space-group type = P4/mmm, No. 123

abc: 3.6809 4.3916 4.3916
angles: 90.00 90.00 90.00
Closest atoms and distances in Å follow each position.
Element x y z (fractional)
1 S 0.5000 0.0000 0.0000  2 F 1.84
2 Li 0.5000 0.5000 0.5000  8 O 2.87, 4 S 3.11
3 O 0.0000 0.0000 0.5000  2 F 2.20
4 O 0.0000 0.5000 0.0000  2 F 2.20
5 F 0.0000 0.0000 0.0000  2 S 1.84

=====

> Number 2 is which compound?

LiSO2F